Model w:
## LaCr2Au2 (PBE)

Data for a relaxed LaCr2Au2 crystal.

a b c (Å): 4.190 4.190 6.979
angles (deg): 72.53 72.53 90.00
Element x y z (fractional)
1 La 0.000 0.000 0.000
2 Cr 0.250 0.750 0.500
3 Au 0.389 0.389 0.221
4 Au 0.611 0.611 0.779
5 Cr 0.750 0.250 0.500

Calculated values
Crystal system: tetragonal
Total magnetic moment in μB per cell: 8.8
DOS at the Fermi energy in states/eV/f.u.: 3.4
V in Å³ per cell: 111.0


Model x:
## LaCr2Au2 (PBE)

Data for a relaxed LaCr2Au2 crystal.

a b c (Å): 8.066 8.066 2.786
angles (deg): 90.00 90.00 90.00
Element x y z (fractional)
1 Au 0.875 0.625 0.000
2 Cr 0.330 0.170 0.500
3 Cr 0.170 0.670 0.500
4 Au 0.375 0.875 0.000
5 Cr 0.670 0.830 0.500
6 Au 0.625 0.125 0.000
7 Au 0.125 0.375 0.000
8 La 0.500 0.500 0.000
9 Cr 0.830 0.330 0.500
10 La 0.000 0.000 0.000

Calculated values
Crystal system: tetragonal
Total magnetic moment in μB per cell: 0.1
DOS at the Fermi energy in states/eV/f.u.: 14.1
V in Å³ per cell: 181.3


Decreasing stability: model w, model x


Model w:
## MnCr2Au (PBE)

Data for a relaxed MnCr2Au crystal.

a b c (Å): 4.647 4.647 4.647
angles (deg): 128.58 128.58 75.68
Element x y z (fractional)
1 Au 0.750 0.250 0.500
2 Mn 0.500 0.500 0.000
3 Cr 0.000 0.000 0.000
4 Cr 0.250 0.750 0.500

Calculated values
Crystal system: tetragonal
Total magnetic moment in μB per cell: 4.1
DOS at the Fermi energy in states/eV/f.u.: 2.4
V in Å³ per cell: 59.6


Model x:
## MnCr2Au (PBE)

Data for a relaxed MnCr2Au crystal.

a b c (Å): 3.634 3.634 9.387
angles (deg): 78.84 78.84 90.00
Element x y z (fractional)
1 Mn 0.500 0.500 0.000
2 Cr 0.875 0.816 0.750
3 Cr 0.375 0.434 0.750
4 Au 0.750 0.250 0.500
5 Cr 0.566 0.125 0.250
6 Cr 0.184 0.625 0.250
7 Au 0.000 0.000 0.000
8 Mn 0.250 0.750 0.500

Calculated values
Crystal system: tetragonal
Total magnetic moment in μB per cell: 4.7
DOS at the Fermi energy in states/eV/f.u.: 3.8
V in Å³ per cell: 119.2


Decreasing stability: model w, model x


Model w:
## MnCrAu (PBE)

Data for a relaxed MnCrAu crystal.

a b c (Å): 3.153 3.149 5.046
angles (deg): 108.17 108.19 90.02
Element x y z (fractional)
1 Mn 0.429 0.632 0.853
2 Au 0.744 0.948 0.484
3 Cr 0.058 0.262 0.112

Calculated values
Crystal system: tetragonal
Total magnetic moment in μB per cell: 0.3
DOS at the Fermi energy in states/eV/f.u.: 2.3
V in Å³ per cell: 45.0


Model x:
## MnCrAu (PBE)

Data for a relaxed MnCrAu crystal.

a b c (Å): 4.262 4.262 4.262
angles (deg): 60.00 60.00 60.00
Element x y z (fractional)
1 Mn 0.000 0.000 0.000
2 Au 0.500 0.500 0.500
3 Cr 0.750 0.750 0.750

Calculated values
Crystal system: cubic
Total magnetic moment in μB per cell: 0.2
DOS at the Fermi energy in states/eV/f.u.: 0.9
V in Å³ per cell: 54.7


Model y:
## MnCrAu (PBE)

Data for a relaxed MnCrAu crystal.

a b c (Å): 6.398 2.927 4.998
angles (deg): 90.00 105.23 90.00
Element x y z (fractional)
1 Mn 0.149 0.000 0.168
2 Cr 0.886 0.000 0.420
3 Mn 0.149 0.500 0.668
4 Au 0.517 0.000 0.630
5 Au 0.517 0.500 0.130
6 Cr 0.886 0.500 0.920

Calculated values
Crystal system: monoclinic
Total magnetic moment in μB per cell: 1.3
DOS at the Fermi energy in states/eV/f.u.: 2.7
V in Å³ per cell: 90.3


Model z:
## MnCrAu (PBE)

Data for a relaxed MnCrAu crystal.

a b c (Å): 2.884 2.884 6.294
angles (deg): 90.00 90.00 120.00
Element x y z (fractional)
1 Mn 0.000 0.000 0.846
2 Cr 0.333 0.667 0.119
3 Au 0.667 0.333 0.484

Calculated values
Crystal system: trigonal
Total magnetic moment in μB per cell: 0.6
DOS at the Fermi energy in states/eV/f.u.: 3.0
V in Å³ per cell: 45.3


Decreasing stability: model w, model z, model y, model x


Model w:
## MnCrAu (PBE)

Data for a relaxed MnCrAu crystal.

a b c (Å): 2.825 2.825 18.391
angles (deg): 90.00 90.00 120.00
Element x y z (fractional)
1 Cr 0.667 0.333 0.558
2 Au 0.000 0.000 0.019
3 Au 0.333 0.667 0.685
4 Au 0.667 0.333 0.352
5 Mn 0.333 0.667 0.478
6 Mn 0.667 0.333 0.145
7 Cr 0.000 0.000 0.225
8 Mn 0.000 0.000 0.811
9 Cr 0.333 0.667 0.892

Calculated values
Crystal system: trigonal
Total magnetic moment in μB per cell: 0.0
DOS at the Fermi energy in states/eV/f.u.: 2.6
V in Å³ per cell: 127.1


Model x:
## MnCrAu (PBE)

Data for a relaxed MnCrAu crystal.

a b c (Å): 4.288 4.288 2.903
angles (deg): 90.00 90.00 120.00
Element x y z (fractional)
1 Au 0.667 0.333 0.000
2 Mn 0.333 0.667 0.500
3 Cr 0.000 0.000 0.500

Calculated values
Crystal system: hexagonal
Total magnetic moment in μB per cell: 0.1
DOS at the Fermi energy in states/eV/f.u.: 2.6
V in Å³ per cell: 46.2


Decreasing stability: model x, model w


Model w:
## MnCrAu3 (PBE)

Data for a relaxed MnCrAu3 crystal.

a b c (Å): 4.911 4.911 4.911
angles (deg): 90.00 90.00 90.00
Element x y z (fractional)
1 Au 0.000 0.500 0.000
2 Au 0.500 0.000 0.000
3 Au 0.000 0.000 0.500
4 Cr 0.000 0.000 0.000
5 Mn 0.500 0.500 0.500

Calculated values
Crystal system: cubic
Total magnetic moment in μB per cell: 8.8
DOS at the Fermi energy in states/eV/f.u.: 4.2
V in Å³ per cell: 118.4


Model x:
## MnCrAu3 (PBE)

Data for a relaxed MnCrAu3 crystal.

a b c (Å): 4.731 4.731 4.731
angles (deg): 90.00 90.00 90.00
Element x y z (fractional)
1 Cr 0.500 0.500 0.500
2 Mn 0.000 0.000 0.000
3 Au 0.000 0.000 0.500
4 Au 0.000 0.500 0.000
5 Au 0.500 0.000 0.000

Calculated values
Crystal system: cubic
Total magnetic moment in μB per cell: 0.3
DOS at the Fermi energy in states/eV/f.u.: 16.0
V in Å³ per cell: 105.9


Decreasing stability: model w, model x


Model w:
## MnCrPAu (PBE)

Data for a relaxed MnCrPAu crystal.

a b c (Å): 2.986 2.986 7.297
angles (deg): 90.00 90.00 120.00
Element x y z (fractional)
1 Au 0.333 0.667 0.603
2 Cr 0.000 0.000 0.897
3 Mn 0.000 0.000 0.302
4 P 0.333 0.667 0.096

Calculated values
Crystal system: trigonal
Total magnetic moment in μB per cell: 2.7
DOS at the Fermi energy in states/eV/f.u.: 2.0
V in Å³ per cell: 56.3


Model x:
## MnCrPAu (PBE)

Data for a relaxed MnCrPAu crystal.

a b c (Å): 2.977 3.137 6.358
angles (deg): 90.00 103.54 90.00
Element x y z (fractional)
1 P 0.656 0.000 0.052
2 Mn 0.794 0.500 0.328
3 Cr 0.089 0.500 0.919
4 Au 0.430 0.000 0.599

Calculated values
Crystal system: orthorhombic
Total magnetic moment in μB per cell: 2.0
DOS at the Fermi energy in states/eV/f.u.: 2.6
V in Å³ per cell: 57.7


Decreasing stability: model x, model w


Model w:
## MnCrPAu (PBE)

Data for a relaxed MnCrPAu crystal.

a b c (Å): 3.895 3.885 5.273
angles (deg): 77.65 89.93 59.93
Element x y z (fractional)
1 Au 0.880 0.352 0.110
2 P 0.649 0.812 0.682
3 Cr 0.271 0.569 0.459
4 Mn 0.969 0.173 0.615

Calculated values
Crystal system: monoclinic
Total magnetic moment in μB per cell: 0.9
DOS at the Fermi energy in states/eV/f.u.: 1.6
V in Å³ per cell: 66.9


Model x:
## MnCrPAu (PBE)

Data for a relaxed MnCrPAu crystal.

a b c (Å): 2.821 2.821 6.639
angles (deg): 90.00 90.00 90.00
Element x y z (fractional)
1 P 0.500 0.500 0.110
2 Cr 0.000 0.000 0.899
3 Mn 0.000 0.000 0.292
4 Au 0.500 0.500 0.598

Calculated values
Crystal system: tetragonal
Total magnetic moment in μB per cell: 0.1
DOS at the Fermi energy in states/eV/f.u.: 4.1
V in Å³ per cell: 52.8


Decreasing stability: model x, model w


Model w:
## MnCrPAu (PBE)

Data for a relaxed MnCrPAu crystal.

a b c (Å): 4.256 3.012 4.676
angles (deg): 90.00 101.38 90.00
Element x y z (fractional)
1 Mn 0.916 0.000 0.364
2 Au 0.450 0.500 0.538
3 Cr 0.334 0.000 0.015
4 P 0.864 0.500 0.981

Calculated values
Crystal system: monoclinic
Total magnetic moment in μB per cell: 0.2
DOS at the Fermi energy in states/eV/f.u.: 2.9
V in Å³ per cell: 58.8


Model x:
## MnCrPAu (PBE)

Data for a relaxed MnCrPAu crystal.

a b c (Å): 2.974 4.232 5.510
angles (deg): 83.10 74.36 69.51
Element x y z (fractional)
1 Cr 0.253 0.601 0.941
2 P 0.485 0.029 0.050
3 Au 0.505 0.622 0.417
4 Mn 0.085 0.184 0.693

Calculated values
Crystal system: monoclinic
Total magnetic moment in μB per cell: 1.7
DOS at the Fermi energy in states/eV/f.u.: 3.8
V in Å³ per cell: 62.5


Model y:
## MnCrPAu (PBE)

Data for a relaxed MnCrPAu crystal.

a b c (Å): 5.121 4.099 7.241
angles (deg): 90.00 120.49 90.00
Element x y z (fractional)
1 Cr 0.576 0.500 0.921
2 Au 0.007 0.000 0.069
3 Cr 0.576 0.000 0.421
4 Au 0.007 0.500 0.569
5 Mn 0.430 0.500 0.202
6 P 0.510 0.500 0.565
7 Mn 0.430 0.000 0.702
8 P 0.510 0.000 0.065

Calculated values
Crystal system: monoclinic
Total magnetic moment in μB per cell: 0.7
DOS at the Fermi energy in states/eV/f.u.: 2.4
V in Å³ per cell: 131.0


Decreasing stability: model w, model y, model x


Model w:
## MnCrAuS (PBE)

Data for a relaxed MnCrAuS crystal.

a b c (Å): 8.397 2.948 5.095
angles (deg): 90.00 101.61 90.00
Element x y z (fractional)
1 Cr 0.371 0.500 0.282
2 S 0.197 0.500 0.891
3 S 0.197 0.000 0.391
4 Mn 0.612 0.000 0.531
5 Cr 0.371 0.000 0.782
6 Au 0.876 0.000 0.285
7 Au 0.876 0.500 0.785
8 Mn 0.612 0.500 0.031

Calculated values
Crystal system: monoclinic
Total magnetic moment in μB per cell: 6.6
DOS at the Fermi energy in states/eV/f.u.: 1.7
V in Å³ per cell: 123.5


Model x:
## MnCrAuS (PBE)

Data for a relaxed MnCrAuS crystal.

a b c (Å): 2.972 2.972 7.486
angles (deg): 78.53 78.52 90.00
Element x y z (fractional)
1 S 0.078 0.577 0.777
2 Mn 0.274 0.773 0.387
3 Cr 0.648 0.147 0.638
4 Au 0.896 0.395 0.142

Calculated values
Crystal system: tetragonal
Total magnetic moment in μB per cell: 5.6
DOS at the Fermi energy in states/eV/f.u.: 2.0
V in Å³ per cell: 63.5


Model y:
## MnCrAuS (PBE)

Data for a relaxed MnCrAuS crystal.

a b c (Å): 2.944 2.944 24.807
angles (deg): 90.00 90.00 120.00
Element x y z (fractional)
1 Au 0.000 0.000 0.804
2 Cr 0.667 0.333 0.307
3 S 0.667 0.333 0.031
4 Cr 0.333 0.667 0.640
5 Cr 0.000 0.000 0.973
6 Mn 0.667 0.333 0.893
7 S 0.333 0.667 0.364
8 Au 0.667 0.333 0.138
9 Mn 0.000 0.000 0.560
10 Au 0.333 0.667 0.471
11 S 0.000 0.000 0.698
12 Mn 0.333 0.667 0.226

Calculated values
Crystal system: trigonal
Total magnetic moment in μB per cell: 10.3
DOS at the Fermi energy in states/eV/f.u.: 1.9
V in Å³ per cell: 186.1


Model z:
## MnCrAuS (PBE)

Data for a relaxed MnCrAuS crystal.

a b c (Å): 3.016 2.916 12.801
angles (deg): 90.00 90.00 90.00
Element x y z (fractional)
1 Cr 0.000 0.000 0.158
2 Au 0.500 0.500 0.297
3 Mn 0.000 0.000 0.462
4 S 0.500 0.000 0.025
5 S 0.500 0.500 0.525
6 Au 0.500 0.000 0.797
7 Mn 0.000 0.500 0.962
8 Cr 0.000 0.500 0.658

Calculated values
Crystal system: orthorhombic
Total magnetic moment in μB per cell: 6.7
DOS at the Fermi energy in states/eV/f.u.: 3.2
V in Å³ per cell: 112.6


Decreasing stability: model w, model y, model x, model z


Model w:
## MnCrAuS (PBE)

Data for a relaxed MnCrAuS crystal.

a b c (Å): 3.048 3.048 7.128
angles (deg): 102.33 102.32 89.97
Element x y z (fractional)
1 S 0.334 0.294 0.147
2 Mn 0.899 0.859 0.277
3 Au 0.139 0.099 0.757
4 Cr 0.516 0.476 0.511

Calculated values
Crystal system: tetragonal
Total magnetic moment in μB per cell: 5.4
DOS at the Fermi energy in states/eV/f.u.: 3.3
V in Å³ per cell: 63.1


Model x:
## MnCrAuS (PBE)

Data for a relaxed MnCrAuS crystal.

a b c (Å): 2.934 2.934 24.636
angles (deg): 90.00 90.00 120.00
Element x y z (fractional)
1 Mn 0.333 0.667 0.437
2 Au 0.333 0.667 0.935
3 Mn 0.667 0.333 0.104
4 S 0.000 0.000 0.160
5 S 0.667 0.333 0.493
6 Au 0.000 0.000 0.269
7 Cr 0.667 0.333 0.359
8 Cr 0.333 0.667 0.693
9 Cr 0.000 0.000 0.026
10 Au 0.667 0.333 0.602
11 S 0.333 0.667 0.827
12 Mn 0.000 0.000 0.771

Calculated values
Crystal system: trigonal
Total magnetic moment in μB per cell: 7.0
DOS at the Fermi energy in states/eV/f.u.: 1.1
V in Å³ per cell: 183.7


Decreasing stability: model x, model w


Model w:
## MnCrAuS (PBE)

Data for a relaxed MnCrAuS crystal.

a b c (Å): 5.968 3.094 8.535
angles (deg): 90.00 120.97 90.00
Element x y z (fractional)
1 Cr 0.716 0.000 0.527
2 Au 0.449 0.500 0.648
3 Mn 0.902 0.500 0.370
4 Au 0.449 0.000 0.148
5 S 0.043 0.500 0.695
6 Mn 0.902 0.000 0.870
7 S 0.043 0.000 0.195
8 Cr 0.716 0.500 0.027

Calculated values
Crystal system: monoclinic
Total magnetic moment in μB per cell: 1.0
DOS at the Fermi energy in states/eV/f.u.: 2.4
V in Å³ per cell: 135.1


Model x:
## MnCrAuS (PBE)

Data for a relaxed MnCrAuS crystal.

a b c (Å): 5.477 3.119 8.007
angles (deg): 90.00 102.71 90.00
Element x y z (fractional)
1 Cr 0.496 0.500 0.419
2 S 0.803 0.000 0.388
3 Mn 0.768 0.500 0.175
4 Au 0.240 0.500 0.098
5 Au 0.240 0.000 0.598
6 S 0.803 0.500 0.888
7 Mn 0.768 0.000 0.675
8 Cr 0.496 0.000 0.919

Calculated values
Crystal system: monoclinic
Total magnetic moment in μB per cell: 11.8
DOS at the Fermi energy in states/eV/f.u.: 2.4
V in Å³ per cell: 133.5


Decreasing stability: model w, model x